1.
The following is a PBEsol calculation of a relaxed Cr2SiPb crystal, from Alexandria via LeMat-Bulk.

Geometry as POSCAR:
```
Cr2SiPb
1.0
-0.686 3.072 -2.501
-2.448 -3.180 -0.004
-0.854 3.197 4.161
Cr Pb Si
2 1 1
Direct
0.725 0.450 0.675 Cr
0.275 0.550 0.325 Cr
0.500 0.000 0.000 Pb
0.000 0.000 0.500 Si
```

Uncorrected formation energy: 0.507 eV/atom
E_tot: -28.20 eV/cell
Energy above the most stable polymorph in this dataset: 0.000 eV per atom
Crystal system: monoclinic

2.
The following is a PBEsol calculation of a relaxed CrSi2Pb crystal, from Alexandria via LeMat-Bulk.

Geometry as POSCAR:
```
CrSi2Pb
1.0
4.099 0.000 0.000
0.000 4.099 0.000
0.000 0.000 4.302
Cr Pb Si
1 1 2
Direct
0.500 0.500 0.500 Cr
0.000 0.000 0.500 Pb
0.000 0.500 0.000 Si
0.500 0.000 0.000 Si
```

Uncorrected formation energy: 0.647 eV/atom
E_tot: -23.15 eV/cell
Crystal system: tetragonal

3.
The following is a PBEsol calculation of a relaxed SrCrPb2 crystal, from Alexandria via LeMat-Bulk.

Geometry as POSCAR:
```
SrCrPb2
1.0
-2.817 -3.081 -2.051
2.956 -0.202 -3.756
2.399 -3.578 2.081
Cr Pb Sr
1 2 1
Direct
0.500 0.000 0.000 Cr
0.000 0.000 0.500 Pb
0.000 0.500 0.000 Pb
0.500 0.500 0.500 Sr
```

E_tot: -19.45 eV/cell
Crystal system: tetragonal
Calculated formation energy: 0.633 eV per formula unit

4.
The following is a PBEsol calculation of a relaxed SrCrPb2 crystal, from Alexandria via LeMat-Bulk.

Geometry as POSCAR:
```
SrCrPb2
1.0
-1.862 0.342 3.064
-0.418 -2.837 2.180
7.864 1.707 6.705
Cr Pb Sr
1 2 1
Direct
0.257 0.257 0.228 Cr
0.993 0.993 0.022 Pb
0.745 0.745 0.764 Pb
0.505 0.505 0.485 Sr
```

E_tot: -18.00 eV/cell
Crystal system: trigonal
Calculated formation energy: 2.082 eV per formula unit

5.
The following is a PBEsol calculation of a relaxed SrCr2Pb crystal, from Alexandria via LeMat-Bulk.

Geometry as POSCAR:
```
SrCr2Pb
1.0
-2.782 -0.620 1.654
1.714 -0.204 2.807
-1.015 7.710 1.180
Cr Pb Sr
2 1 1
Direct
0.500 0.500 0.085 Cr
0.000 0.000 0.194 Cr
0.500 0.500 0.444 Pb
0.000 0.000 0.777 Sr
```

E_tot: -24.69 eV/cell
Crystal system: tetragonal
Calculated formation energy: 1.633 eV per formula unit

6.
The following is a PBEsol calculation of a relaxed TaCrPb2 crystal, from Alexandria via LeMat-Bulk.

Geometry as POSCAR:
```
TaCrPb2
1.0
-1.443 1.718 -2.327
-3.773 -3.808 -0.472
-0.003 3.231 4.632
Cr Pb Ta
1 2 1
Direct
0.000 0.500 0.000 Cr
0.736 0.736 0.472 Pb
0.264 0.264 0.528 Pb
0.500 0.000 0.000 Ta
```

E_tot: -27.75 eV/cell
Energy above the most stable polymorph in this dataset: 0.119 eV per atom
Crystal system: orthorhombic
Calculated formation energy: 3.045 eV per formula unit

Listing spin magnetization for the structures above in their given order: 1.33; 0.92; 1.08; 1.11; 0.04; 0.66 μB/atom.